[1]
Compound: Sr2FeSe
Source: Alexandria
Functional: PBE-GGA
Structure: relaxed

a b c (Å): 7.8433 7.8433 7.8433
angles (deg): 149.14 148.66 44.56
Atoms (fractional coordinates):
Sr  0.0000  0.0000  0.0000
Sr  0.7517  0.2517  0.5000
Fe  0.3381  0.8381  0.5000
Se  0.4225  0.4225  0.0000

* SG: Imm2
* magnetization: 2.07 μB per cell
* theoretical density: 4.012 g/cm³
* calculated total energy: -4.16 eV/atom

=====

[2]
Compound: SrFeSe4
Source: Alexandria
Functional: PBE-GGA
Structure: relaxed

a b c (Å): 5.8597 5.8597 5.8597
angles (deg): 60.00 60.00 60.00
Atoms (fractional coordinates):
Sr  0.0000  0.0000  0.0000
Fe  0.7500  0.7500  0.7500
Se  0.3763  0.3763  0.3763
Se  0.3763  0.3763  0.8710
Se  0.3763  0.8710  0.3763
Se  0.8710  0.3763  0.3763

* SG: F-43m
* magnetization: 3.68 μB per cell
* theoretical density: 5.361 g/cm³
* calculated total energy: -3.79 eV/atom

=====

[3]
Compound: Sr2FeSe
Source: Alexandria
Functional: PBE-GGA
Structure: relaxed

a b c (Å): 5.3846 5.3846 3.7940
angles (deg): 90.00 90.00 90.00
Atoms (fractional coordinates):
Sr  0.0000  0.5000  0.0000
Sr  0.5000  0.0000  0.0000
Fe  0.0000  0.0000  0.5000
Se  0.5000  0.5000  0.5000

* SG: P4/mmm
* magnetization: 2.27 μB per cell
* theoretical density: 4.680 g/cm³
* calculated total energy: -4.18 eV/atom

=====

[4]
Compound: Sr2FeSe
Source: Alexandria
Functional: PBE-GGA
Structure: relaxed

a b c (Å): 5.3745 5.3745 5.3745
angles (deg): 60.00 60.00 60.00
Atoms (fractional coordinates):
Sr  0.0000  0.0000  0.0000
Sr  0.2500  0.2500  0.2500
Fe  0.5000  0.5000  0.5000
Se  0.7500  0.7500  0.7500

* SG: F-43m
* magnetization: 2.48 μB per cell
* theoretical density: 4.690 g/cm³
* calculated total energy: -3.61 eV/atom

=====

[5]
Compound: SrFeSe3
Source: Alexandria
Functional: PBE-GGA
Structure: relaxed

a b c (Å): 4.8398 4.8398 4.8398
angles (deg): 90.00 90.00 90.00
Atoms (fractional coordinates):
Sr  0.0000  0.0000  0.0000
Fe  0.5000  0.5000  0.5000
Se  0.0000  0.5000  0.5000
Se  0.5000  0.0000  0.5000
Se  0.5000  0.5000  0.0000

* SG: Pm-3m
* magnetization: 0.00 μB per cell
* theoretical density: 5.571 g/cm³
* calculated total energy: -4.66 eV/atom

=====

[6]
Compound: Sr2FeSe
Source: Alexandria
Functional: PBE-GGA
Structure: relaxed

a b c (Å): 6.3211 6.3211 4.3194
angles (deg): 90.06 90.06 40.68
Atoms (fractional coordinates):
Sr  0.0000  0.0000  0.0000
Sr  0.7183  0.7183  0.5003
Fe  0.4275  0.4275  0.4999
Se  0.2956  0.2956  0.0003

* SG: Cm
* magnetization: 2.16 μB per cell
* theoretical density: 4.577 g/cm³
* calculated total energy: -4.28 eV/atom